Entry 1:
NbI2O | PBEsol | optimized geometry

```
NbI2O
1.0
-5.058 1.333 4.109
3.788 -5.110 0.937
4.140 -0.307 5.197
I O Nb
4 2 2
direct
0.605 0.750 0.375
0.375 0.250 0.145
0.145 0.750 0.875
0.875 0.250 0.605
0.500 0.000 0.500
0.250 0.500 0.250
0.750 0.500 0.750
0.000 0.000 0.000
```

Properties
Magnetization = 0.96 μB/f.u.
Uncorrected formation energy = 11.16 kcal/mol of atoms

Entry 2:
NbRuI2O | PBEsol | optimized geometry

```
NbRuI2O
1.0
3.630 0.000 0.000
0.000 5.448 0.000
0.000 0.000 5.448
Nb Ru O I
1 1 1 2
direct
0.500 0.500 0.500
0.000 0.000 0.000
0.500 0.000 0.000
0.000 0.500 0.000
0.000 0.000 0.500
```

Properties
Magnetization = 3.05 μB/f.u.
Uncorrected formation energy = 6.95 kcal/mol of atoms

Entry 3:
SrNbI2O | PBEsol | optimized geometry

```
SrNbI2O
1.0
4.160 0.000 0.000
0.000 6.133 0.000
0.000 0.000 6.133
I O Sr Nb
2 1 1 1
direct
0.000 0.000 0.500
0.000 0.500 0.000
0.500 0.000 0.000
0.000 0.000 0.000
0.500 0.500 0.500
```

Properties
Magnetization = 3.67 μB/f.u.
Uncorrected formation energy = 1.38 kcal/mol of atoms

Entry 4:
TaNbIO2 | PBEsol | optimized geometry

```
TaNbIO2
1.0
-3.355 -1.777 1.120
0.003 -2.114 -3.346
3.212 -4.337 2.743
O Ta Nb I
2 1 1 1
direct
0.000 0.500 0.000
0.500 0.000 0.000
0.500 0.500 0.500
0.000 0.000 0.000
0.000 0.000 0.500
```

Properties
Magnetization = 2.71 μB/f.u.
Polymorph energy (0 for the lowest one) = 375 meV per atom
Uncorrected formation energy = -5.19 kcal/mol of atoms

Entry 5:
TaNbIO2 | PBEsol | optimized geometry

```
TaNbIO2
1.0
-0.156 -3.854 -0.759
3.670 -0.414 1.347
-2.205 -1.031 5.689
O Ta Nb I
2 1 1 1
direct
0.000 0.500 0.000
0.500 0.000 0.000
0.000 0.000 0.000
0.500 0.500 0.500
0.000 0.000 0.500
```

Properties
Magnetization = 3.13 μB/f.u.
Polymorph energy (0 for the lowest one) = 0 meV per atom
Uncorrected formation energy = -13.84 kcal/mol of atoms

Entry 6:
NbTlIO2 | PBEsol | optimized geometry

```
NbTlIO2
1.0
4.172 0.000 0.000
0.000 4.172 0.000
0.000 0.000 5.712
O Tl Nb I
2 1 1 1
direct
0.000 0.500 0.000
0.500 0.000 0.000
0.500 0.500 0.500
0.000 0.000 0.000
0.000 0.000 0.500
```

Properties
Magnetization = 0.22 μB/f.u.
Uncorrected formation energy = -23.71 kcal/mol of atoms

Entry 7:
NbZnIO2 | PBEsol | optimized geometry

```
NbZnIO2
1.0
3.986 0.000 0.000
0.000 3.986 0.000
0.000 0.000 5.089
I Zn O Nb
1 1 2 1
direct
0.000 0.000 0.500
0.000 0.000 0.000
0.500 0.000 0.000
0.000 0.500 0.000
0.500 0.500 0.500
```

Properties
Magnetization = 1.66 μB/f.u.
Uncorrected formation energy = 6.55 kcal/mol of atoms

Entry 8:
ZrNbIO2 | PBEsol | optimized geometry

```
ZrNbIO2
1.0
-0.655 3.445 -2.056
-2.046 -2.079 -2.832
-5.106 0.856 3.062
Zr O Nb I
1 2 1 1
direct
0.000 0.000 0.000
0.000 0.500 0.000
0.500 0.000 0.000
0.500 0.500 0.500
0.000 0.000 0.500
```

Properties
Magnetization = 3.54 μB/f.u.
Uncorrected formation energy = -20.98 kcal/mol of atoms

Entry 9:
Nb2TeOsI | PBEsol | optimized geometry

```
Nb2TeOsI
1.0
4.966 0.000 0.000
0.000 4.966 0.000
0.000 0.000 5.081
Te Os Nb I
1 1 2 1
direct
0.500 0.500 0.500
0.000 0.000 0.000
0.000 0.500 0.000
0.500 0.000 0.000
0.000 0.000 0.500
```

Properties
Magnetization = 0.93 μB/f.u.
Uncorrected formation energy = 27.89 kcal/mol of atoms

Entry 10:
NbTePI2 | PBEsol | optimized geometry

```
NbTePI2
1.0
-2.658 4.097 2.178
-4.106 -0.746 -3.607
-2.460 -3.465 3.517
I Nb Te P
2 1 1 1
direct
0.000 0.500 0.000
0.000 0.000 0.500
0.000 0.000 0.000
0.500 0.000 0.000
0.500 0.500 0.500
```

Properties
Magnetization = 2.90 μB/f.u.
Uncorrected formation energy = 14.93 kcal/mol of atoms

Entry 11:
NbTe2PbI | PBEsol | optimized geometry

```
NbTe2PbI
1.0
5.395 0.000 0.000
0.000 5.395 0.000
0.000 0.000 5.491
Pb Nb Te I
1 1 2 1
direct
0.500 0.500 0.500
0.000 0.000 0.000
0.000 0.500 0.000
0.500 0.000 0.000
0.000 0.000 0.500
```

Properties
Magnetization = 0.93 μB/f.u.
Uncorrected formation energy = 3.18 kcal/mol of atoms

Entry 12:
Nb2PtI | PBEsol | optimized geometry

```
Nb2PtI
1.0
-0.046 -4.369 -1.618
2.708 -3.242 1.967
-1.913 -3.405 2.540
Nb I Pt
2 1 1
direct
0.750 0.750 0.750
0.250 0.250 0.250
0.000 0.000 0.000
0.500 0.500 0.500
```

Properties
Magnetization = 0.00 μB/f.u.
Uncorrected formation energy = 2.86 kcal/mol of atoms

Repeat the third record exactly.
SrNbI2O | PBEsol | optimized geometry

```
SrNbI2O
1.0
4.160 0.000 0.000
0.000 6.133 0.000
0.000 0.000 6.133
I O Sr Nb
2 1 1 1
direct
0.000 0.000 0.500
0.000 0.500 0.000
0.500 0.000 0.000
0.000 0.000 0.000
0.500 0.500 0.500
```

Properties
Magnetization = 3.67 μB/f.u.
Uncorrected formation energy = 1.38 kcal/mol of atoms

Q: Which of these has the highest magnetization?
A: SrNbI2O

Q: Which value of magnetization does entry 12 give?
A: 0.00 μB/f.u.